Record 1
The following is a DFT calculation (PBE) of a relaxed structure of TeMoW2.

a b c (Å): 4.2198 3.1053 6.2202
angles (deg): 60.03 90.00 90.00
Closest atoms and distances in Å follow each position.
Fractional coordinates of all 4 atoms:
Mo1 0.0000 0.5167 0.4866  1 W 2.47
Te1 0.5000 0.7588 0.7426  2 W 2.69-2.70, 4 Mo 2.96
W1 0.5000 0.2448 0.2422  2 Te 2.69-2.70, 4 W 2.83-2.90, 4 Mo 2.91-2.96
W2 0.0000 0.9797 0.0285  1 Mo 2.47

Properties
E_form (uncorrected), eV/atom: 0.579
Total magnetization, Bohr magnetons per cell: 0.000
DOS at the Fermi energy, states/eV/atom: 0.81
Mass density, g cm⁻³: 13.90
DFT total energy, eV per cell: -37.6


Record 2
The following is a DFT calculation (PBE) of a relaxed structure of YTeMo2W.

a b c (Å): 4.7550 5.5798 4.7550
angles (deg): 90.00 90.00 90.00
Closest atoms and distances in Å follow each position.
Fractional coordinates of all 5 atoms:
Y1 0.0000 0.5000 0.0000  2 W 2.79
Te1 0.5000 0.5000 0.5000  4 Y 3.36, 8 Mo 3.67
W1 0.0000 0.0000 0.0000  4 Mo 2.38
Mo1 0.0000 0.0000 0.5000  2 W 2.38
Mo2 0.5000 0.0000 0.0000  2 W 2.38

Properties
E_form (uncorrected), eV/atom: 1.104
Total magnetization, Bohr magnetons per cell: 0.741
DOS at the Fermi energy, states/eV/atom: 1.30
Mass density, g cm⁻³: 7.79
DFT total energy, eV per cell: -38.7


Record 3
The following is a DFT calculation (PBE) of a relaxed structure of Y2TeMo.

a b c (Å): 3.7828 3.7828 6.7953
angles (deg): 90.00 90.00 90.02
Closest atoms and distances in Å follow each position.
Fractional coordinates of all 4 atoms:
Y1 0.0000 0.0000 0.4861  4 Mo 3.12, 1 Y 3.21, 4 Te 3.22
Y2 0.0000 0.0000 0.0139  4 Mo 3.12, 1 Y 3.21, 4 Te 3.22
Mo1 0.5000 0.5000 0.2500  8 Y 3.12, 2 Te 3.40
Te1 0.5000 0.5000 0.7500  8 Y 3.22, 2 Mo 3.40

Properties
E_form (uncorrected), eV/atom: -0.300
Total magnetization, Bohr magnetons per cell: 0.000
DOS at the Fermi energy, states/eV/atom: 0.87
Mass density, g cm⁻³: 6.85
DFT total energy, eV per cell: -28.1


Record 4
The following is a DFT calculation (PBE) of a relaxed structure of Y2TeMo.

a b c (Å): 4.0886 4.0987 6.3306
angles (deg): 90.00 90.00 90.00
Closest atoms and distances in Å follow each position.
Fractional coordinates of all 4 atoms:
Mo1 0.0000 0.0000 0.4304  5 Y 2.90-3.00
Y1 0.0000 0.0000 0.9729  1 Mo 2.90, 4 Te 3.11
Y2 0.5000 0.5000 0.3031  4 Mo 3.00, 2 Te 3.11-3.22
Te1 0.5000 0.5000 0.7937  6 Y 3.11-3.22

Properties
E_form (uncorrected), eV/atom: 0.009
Total magnetization, Bohr magnetons per cell: 1.270
DOS at the Fermi energy, states/eV/atom: 0.80
Mass density, g cm⁻³: 6.28
DFT total energy, eV per cell: -26.9


Record 5
The following is a DFT calculation (PBE) of a relaxed structure of Y2TeMo.

a b c (Å): 4.5575 3.9639 5.8705
angles (deg): 70.27 90.00 90.00
Closest atoms and distances in Å follow each position.
Fractional coordinates of all 4 atoms:
Mo1 0.0000 0.7045 0.4668  2 Te 2.83, 5 Y 3.02-3.10
Y1 0.5000 0.2666 0.3417  3 Te 3.09-3.16, 4 Mo 3.10
Y2 0.0000 0.9766 0.9211  3 Mo 3.02-3.20, 4 Te 3.13
Te1 0.5000 0.5523 0.7704  2 Mo 2.83, 7 Y 3.09-3.16

Properties
E_form (uncorrected), eV/atom: -0.299
Total magnetization, Bohr magnetons per cell: 0.001
DOS at the Fermi energy, states/eV/atom: 1.06
Mass density, g cm⁻³: 6.68
DFT total energy, eV per cell: -28.1


Record 6
The following is a DFT calculation (PBE) of a relaxed structure of Y2TeMo.

a b c (Å): 6.0010 6.0010 6.0010
angles (deg): 137.51 137.51 61.65
Closest atoms and distances in Å follow each position.
Fractional coordinates of all 4 atoms:
Te1 0.7500 0.2500 0.5000  8 Y 3.08-3.37, 4 Mo 3.37
Mo1 0.5000 0.5000 0.0000  8 Y 3.08-3.37, 4 Te 3.37
Y1 0.0000 0.0000 0.0000  4 Mo 3.08, 4 Te 3.37, 4 Y 3.37
Y2 0.2500 0.7500 0.5000  4 Te 3.08, 4 Mo 3.37, 4 Y 3.37

Properties
E_form (uncorrected), eV/atom: -0.041
Total magnetization, Bohr magnetons per cell: 1.810
DOS at the Fermi energy, states/eV/atom: 0.78
Mass density, g cm⁻³: 6.84
DFT total energy, eV per cell: -27.1


Record 7
The following is a DFT calculation (PBE) of a relaxed structure of YTeMo.

a b c (Å): 4.6394 4.6394 3.7305
angles (deg): 90.00 90.00 120.00
Closest atoms and distances in Å follow each position.
Fractional coordinates of all 3 atoms:
Mo1 0.0000 0.0000 0.1664  3 Te 2.68
Te1 0.6667 0.3333 0.1666  3 Mo 2.68
Y1 0.3333 0.6667 0.6670  6 Mo 3.26-3.27, 6 Te 3.26

Properties
E_form (uncorrected), eV/atom: -0.080
Energy relative to the lowest polymorph listed for this composition, meV/atom: 40
Total magnetization, Bohr magnetons per cell: 0.000
DOS at the Fermi energy, states/eV/atom: 1.11
Mass density, g cm⁻³: 7.46
DFT total energy, eV per cell: -20.7


Record 8
The following is a DFT calculation (PBE) of a relaxed structure of Y2TeMo.

a b c (Å): 9.8599 9.8599 9.8599
angles (deg): 20.63 20.63 20.63
Closest atoms and distances in Å follow each position.
Fractional coordinates of all 4 atoms:
Mo1 0.4913 0.4913 0.4913  3 Te 2.71
Y1 0.2383 0.2383 0.2383  3 Mo 3.09
Y2 0.0075 0.0075 0.0075  3 Te 3.28, 9 Y 3.53-3.60
Te1 0.7629 0.7629 0.7629  3 Mo 2.71

Properties
E_form (uncorrected), eV/atom: 0.099
Total magnetization, Bohr magnetons per cell: 0.341
DOS at the Fermi energy, states/eV/atom: 1.11
Mass density, g cm⁻³: 6.40
DFT total energy, eV per cell: -26.5


Record 9
The following is a DFT calculation (PBE) of a relaxed structure of YTeMo.

a b c (Å): 3.6461 3.6461 6.3823
angles (deg): 90.00 90.00 120.00
Closest atoms and distances in Å follow each position.
Fractional coordinates of all 3 atoms:
Y1 0.6667 0.3333 0.6807  3 Mo 3.05, 3 Te 3.25
Te1 0.3333 0.6667 0.2933  3 Mo 2.71
Mo1 0.0000 0.0000 0.0260  3 Te 2.71

Properties
E_form (uncorrected), eV/atom: 0.048
Energy relative to the lowest polymorph listed for this composition, meV/atom: 169
Total magnetization, Bohr magnetons per cell: 0.000
DOS at the Fermi energy, states/eV/atom: 0.62
Mass density, g cm⁻³: 7.06
DFT total energy, eV per cell: -20.3


Record 10
The following is a DFT calculation (PBE) of a relaxed structure of Y2TeMo2.

a b c (Å): 7.4220 7.4220 4.3221
angles (deg): 90.00 90.00 90.00
Closest atoms and distances in Å follow each position.
Fractional coordinates of all 10 atoms:
Mo1 0.6073 0.1073 0.0000  1 Mo 2.25
Mo2 0.8927 0.6073 0.0000  1 Mo 2.25
Mo3 0.3927 0.8927 0.0000  1 Mo 2.25
Mo4 0.1073 0.3927 0.0000  1 Mo 2.25
Y1 0.6776 0.8224 0.5000  6 Mo 3.07-3.13
Y2 0.1776 0.6776 0.5000  6 Mo 3.07-3.13
Y3 0.8224 0.3224 0.5000  6 Mo 3.07-3.13
Y4 0.3224 0.1776 0.5000  6 Mo 3.07-3.13
Te1 0.5000 0.5000 0.0000  4 Mo 3.02
Te2 0.0000 0.0000 0.0000  4 Mo 3.02

Properties
E_form (uncorrected), eV/atom: -0.004
Energy relative to the lowest polymorph listed for this composition, meV/atom: 0
Total magnetization, Bohr magnetons per cell: 0.000
DOS at the Fermi energy, states/eV/atom: 0.60
Mass density, g cm⁻³: 6.94
DFT total energy, eV per cell: -75.5


Record 11
The following is a DFT calculation (PBE) of a relaxed structure of Y2TeMo.

a b c (Å): 3.5156 3.5156 8.2057
angles (deg): 90.00 90.00 90.00
Closest atoms and distances in Å follow each position.
Fractional coordinates of all 4 atoms:
Y1 0.5000 0.5000 0.3024  4 Mo 3.17, 1 Te 3.23, 4 Y 3.52
Y2 0.0000 0.0000 0.9580  4 Te 3.28, 1 Mo 3.41, 4 Y 3.52
Mo1 0.0000 0.0000 0.5430  4 Te 2.79
Te1 0.5000 0.5000 0.6966  4 Mo 2.79

Properties
E_form (uncorrected), eV/atom: -0.077
Total magnetization, Bohr magnetons per cell: 0.000
DOS at the Fermi energy, states/eV/atom: 1.25
Mass density, g cm⁻³: 6.57
DFT total energy, eV per cell: -27.2


Record 12
The following is a DFT calculation (PBE) of a relaxed structure of Y2TeMo.

a b c (Å): 8.7662 8.7662 8.7662
angles (deg): 24.95 24.95 24.95
Closest atoms and distances in Å follow each position.
Fractional coordinates of all 4 atoms:
Y1 0.9966 0.9966 0.9966  3 Mo 2.99, 3 Te 3.11
Y2 0.5034 0.5034 0.5034  3 Mo 2.99, 3 Te 3.11
Te1 0.7500 0.7500 0.7500  6 Y 3.11
Mo1 0.2500 0.2500 0.2500  6 Y 2.99

Properties
E_form (uncorrected), eV/atom: -0.103
Total magnetization, Bohr magnetons per cell: 0.435
DOS at the Fermi energy, states/eV/atom: 1.42
Mass density, g cm⁻³: 6.32
DFT total energy, eV per cell: -27.3


Record 13
The following is a DFT calculation (PBE) of a relaxed structure of Y2TeMo.

a b c (Å): 5.0263 5.0263 5.0263
angles (deg): 60.00 60.00 60.00
Closest atoms and distances in Å follow each position.
Fractional coordinates of all 4 atoms:
Y1 0.2500 0.2500 0.2500  4 Y 3.08, 4 Mo 3.08
Y2 0.0000 0.0000 0.0000  4 Te 3.08, 4 Y 3.08
Te1 0.7500 0.7500 0.7500  4 Mo 3.08, 4 Y 3.08
Mo1 0.5000 0.5000 0.5000  4 Y 3.08, 4 Te 3.08

Properties
E_form (uncorrected), eV/atom: 0.127
Total magnetization, Bohr magnetons per cell: 0.000
DOS at the Fermi energy, states/eV/atom: 1.20
Mass density, g cm⁻³: 7.42
DFT total energy, eV per cell: -26.4


Record 14
The following is a DFT calculation (PBE) of a relaxed structure of YTeMo3.

a b c (Å): 4.9310 4.9310 4.9310
angles (deg): 90.00 90.00 90.00
Closest atoms and distances in Å follow each position.
Fractional coordinates of all 5 atoms:
Mo1 0.0000 0.0000 0.5000  2 Te 2.47
Mo2 0.5000 0.0000 0.0000  2 Te 2.47
Mo3 0.0000 0.5000 0.0000  2 Te 2.47
Te1 0.0000 0.0000 0.0000  6 Mo 2.47
Y1 0.5000 0.5000 0.5000  12 Mo 3.49

Properties
E_form (uncorrected), eV/atom: 1.268
Energy relative to the lowest polymorph listed for this composition, meV/atom: 0
Total magnetization, Bohr magnetons per cell: 0.000
DOS at the Fermi energy, states/eV/atom: 1.45
Mass density, g cm⁻³: 6.98
DFT total energy, eV per cell: -35.8


Record 15
The following is a DFT calculation (PBE) of a relaxed structure of YTeMo.

a b c (Å): 4.9711 4.9711 4.9711
angles (deg): 60.00 60.00 60.00
Closest atoms and distances in Å follow each position.
Fractional coordinates of all 3 atoms:
Mo1 0.0000 0.0000 0.0000  4 Y 3.04
Te1 0.5000 0.5000 0.5000  4 Y 3.04
Y1 0.7500 0.7500 0.7500  4 Te 3.04, 4 Mo 3.04

Properties
E_form (uncorrected), eV/atom: 0.782
Energy relative to the lowest polymorph listed for this composition, meV/atom: 903
Total magnetization, Bohr magnetons per cell: 3.296
DOS at the Fermi energy, states/eV/atom: 1.41
Mass density, g cm⁻³: 5.97
DFT total energy, eV per cell: -18.1


Record 16
The following is a DFT calculation (PBE) of a relaxed structure of Y2TeMo.

a b c (Å): 6.5913 6.5913 4.8563
angles (deg): 68.40 68.40 31.36
Closest atoms and distances in Å follow each position.
Fractional coordinates of all 4 atoms:
Y1 0.7866 0.7866 0.7134  2 Mo 3.19, 4 Te 3.20, 4 Y 3.55-3.56
Y2 0.0080 0.0080 0.9920  4 Mo 3.01, 2 Te 3.26
Te1 0.1937 0.1937 0.3064  2 Mo 2.78
Mo1 0.5118 0.5118 0.4881  2 Te 2.78, 4 Y 3.01

Properties
E_form (uncorrected), eV/atom: -0.185
Total magnetization, Bohr magnetons per cell: 0.000
DOS at the Fermi energy, states/eV/atom: 1.01
Mass density, g cm⁻³: 6.57
DFT total energy, eV per cell: -27.6


Record 17
The following is a DFT calculation (PBE) of a relaxed structure of YTeMo3.

a b c (Å): 4.9084 4.9084 4.9084
angles (deg): 90.00 90.00 90.00
Closest atoms and distances in Å follow each position.
Fractional coordinates of all 5 atoms:
Y1 0.0000 0.0000 0.0000  6 Mo 2.45
Mo1 0.0000 0.0000 0.5000  2 Y 2.45
Mo2 0.5000 0.0000 0.0000  2 Y 2.45
Mo3 0.0000 0.5000 0.0000  2 Y 2.45
Te1 0.5000 0.5000 0.5000  12 Mo 3.47

Properties
E_form (uncorrected), eV/atom: 2.363
Energy relative to the lowest polymorph listed for this composition, meV/atom: 1095
Total magnetization, Bohr magnetons per cell: 1.300
DOS at the Fermi energy, states/eV/atom: 1.46
Mass density, g cm⁻³: 7.08
DFT total energy, eV per cell: -30.3


Record 18
The following is a DFT calculation (PBE) of a relaxed structure of Y2Te2Mo.

a b c (Å): 7.6471 7.6471 4.2010
angles (deg): 90.00 90.00 90.00
Closest atoms and distances in Å follow each position.
Fractional coordinates of all 10 atoms:
Mo1 0.0000 0.0000 0.0000  4 Te 2.89
Mo2 0.5000 0.5000 0.0000  4 Te 2.89
Te1 0.8453 0.6547 0.0000  2 Mo 2.89, 6 Y 2.92-3.18
Te2 0.3453 0.8453 0.0000  2 Mo 2.89, 6 Y 2.92-3.18
Te3 0.1547 0.3453 0.0000  2 Mo 2.89, 6 Y 2.92-3.18
Te4 0.6547 0.1547 0.0000  2 Mo 2.89, 6 Y 2.92-3.18
Y1 0.6576 0.8424 0.5000  6 Te 2.92-3.18
Y2 0.1576 0.6576 0.5000  6 Te 2.92-3.18
Y3 0.8424 0.3424 0.5000  6 Te 2.92-3.18
Y4 0.3424 0.1576 0.5000  6 Te 2.92-3.18

Properties
E_form (uncorrected), eV/atom: -0.491
Energy relative to the lowest polymorph listed for this composition, meV/atom: 0
Total magnetization, Bohr magnetons per cell: 0.000
DOS at the Fermi energy, states/eV/atom: 0.24
Mass density, g cm⁻³: 7.15
DFT total energy, eV per cell: -65.0


Record 19
The following is a DFT calculation (PBE) of a relaxed structure of Y2Te2Mo.

a b c (Å): 5.9109 5.9109 6.0748
angles (deg): 60.89 60.89 90.00
Closest atoms and distances in Å follow each position.
Fractional coordinates of all 5 atoms:
Te1 0.3099 0.3099 0.3802  1 Mo 2.73, 4 Y 3.00
Te2 0.6901 0.6901 0.6198  1 Mo 2.73, 4 Y 3.00
Y1 0.7500 0.2500 0.5000  4 Te 3.00
Y2 0.2500 0.7500 0.5000  4 Te 3.00
Mo1 0.0000 0.0000 0.0000  2 Te 2.73

Properties
E_form (uncorrected), eV/atom: -0.101
Energy relative to the lowest polymorph listed for this composition, meV/atom: 389
Total magnetization, Bohr magnetons per cell: 2.247
DOS at the Fermi energy, states/eV/atom: 1.05
Mass density, g cm⁻³: 5.70
DFT total energy, eV per cell: -30.5


Record 20
The following is a DFT calculation (PBE) of a relaxed structure of YTeMo.

a b c (Å): 6.0861 6.0861 3.5103
angles (deg): 73.24 73.24 33.52
Closest atoms and distances in Å follow each position.
Fractional coordinates of all 3 atoms:
Mo1 0.9776 0.9776 0.0224  4 Te 2.78
Te1 0.3659 0.3659 0.6341  4 Mo 2.78
Y1 0.6565 0.6565 0.3435  4 Mo 3.18, 5 Te 3.23-3.40, 4 Y 3.51

Properties
E_form (uncorrected), eV/atom: -0.121
Energy relative to the lowest polymorph listed for this composition, meV/atom: 0
Total magnetization, Bohr magnetons per cell: 0.000
DOS at the Fermi energy, states/eV/atom: 1.30
Mass density, g cm⁻³: 7.58
DFT total energy, eV per cell: -20.8